Density functional theory data (PBE with a Hubbard U) for an optimized crystal structure of CrCo3P4O16.

Calculated values
Its spin magnetization is 5.01 μB/f.u. As for the crystal system: monoclinic. The calculation puts the total energy at -6.870 eV per atom.

Lattice parameters (Å, degrees): 4.8258 5.8491 9.8049 90.00 91.95 90.00
With the nearest neighbours (Å) after each atom.
Element x y z (fractional)
1 Cr 0.0000 0.0000 0.0000  6 O 1.95-2.07
2 Co 0.1145 0.5000 0.5468  6 O 1.94-2.17
3 Co 0.5089 0.5000 0.0418  2 O 1.85-1.86
4 Co 0.5937 0.0000 0.4972  2 O 1.85
5 P 0.1511 0.0000 0.6776  4 O 1.52-1.58
6 P 0.4444 0.0000 0.1761  4 O 1.52-1.57
7 P 0.6550 0.5000 0.3660  4 O 1.53-1.56
8 P 0.9435 0.5000 0.8633  4 O 1.52-1.58
9 O 0.2126 0.0000 0.8304  1 P 1.52
10 O 0.2593 0.5000 0.8930  1 P 1.54
11 O 0.2842 0.2045 0.1049  1 P 1.57
12 O 0.2842 0.7955 0.1049  1 P 1.57
13 O 0.2949 0.2070 0.6044  1 P 1.58
14 O 0.2949 0.7930 0.6044  1 P 1.58
15 O 0.3435 0.5000 0.3886  1 P 1.53
16 O 0.3971 0.0000 0.3314  1 P 1.55
17 O 0.6972 0.5000 0.2095  1 P 1.55
18 O 0.7537 0.0000 0.1536  1 P 1.52
19 O 0.7990 0.2923 0.9356  1 P 1.58
20 O 0.7990 0.7077 0.9356  1 P 1.58
21 O 0.8122 0.2936 0.4345  1 P 1.56
22 O 0.8122 0.7064 0.4345  1 P 1.56
23 O 0.8354 0.0000 0.6481  1 P 1.54
24 O 0.8838 0.5000 0.7097  1 P 1.52